(1)
An optimized crystal structure of Tb2Pa2Pt15, computed with PBE-GGA.

Cell lengths 7.124, 7.124, 7.124 Å; angles 81.45, 81.45, 81.45 degrees
Atoms (fractional coordinates):
Pt  0.500  0.000  0.000
Pt  0.686  0.314  0.000
Pt  0.314  0.000  0.686
Pt  0.840  0.345  0.345
Pt  0.000  0.314  0.686
Pt  0.345  0.345  0.840
Pt  0.655  0.655  0.160
Pt  0.000  0.000  0.500
Pt  0.000  0.500  0.000
Pt  0.160  0.655  0.655
Pt  0.000  0.686  0.314
Pt  0.655  0.160  0.655
Pt  0.345  0.840  0.345
Pt  0.686  0.000  0.314
Pt  0.314  0.686  0.000
Pa  0.898  0.898  0.898
Pa  0.102  0.102  0.102
Tb  0.637  0.637  0.637
Tb  0.363  0.363  0.363

## Properties
Space group ... R-3m, No. 166
ΔE_f ... -0.6842 eV/atom

(2)
An optimized crystal structure of TbPaPt4, computed with PBE-GGA.

Cell lengths 5.442, 5.442, 5.442 Å; angles 60.00, 60.00, 60.00 degrees
Atoms (fractional coordinates):
Tb  0.000  0.000  0.000
Pt  0.125  0.625  0.625
Pt  0.625  0.625  0.625
Pt  0.625  0.625  0.125
Pt  0.625  0.125  0.625
Pa  0.250  0.250  0.250

## Properties
Space group ... F-43m, No. 216
ΔE_f ... -0.9725 eV/atom

Number 1: DFT total energy -131.864 eV per cell. Number 2: DFT total energy -44.125 eV per cell.